First-principles (meta-GGA SCAN) data for a PBEsol-optimized structure of SrBeSe2, as listed in Alexandria via LeMat-Bulk.

## Properties
The formation energy from raw total energies comes out at -0.23 eV/f.u. The calculation puts the size of the total moment at 0.0 μB per cell.

Geometry as CIF:
```
data_SrBeSe2
_cell_length_a 7.0217
_cell_length_b 7.0217
_cell_length_c 7.0217
_cell_angle_alpha 90.00
_cell_angle_beta 90.00
_cell_angle_gamma 90.00
_symmetry_space_group_name_H-M 'F -4 3 m'
_symmetry_Int_Tables_number 216
_symmetry_space_group_name_Hall 'F -4 2 3'
loop_
_atom_site_label
_atom_site_type_symbol
_atom_site_fract_x
_atom_site_fract_y
_atom_site_fract_z
Sr1 Sr 0.0000 0.0000 0.0000
Be1 Be 0.2500 0.2500 0.2500
Se1 Se 0.0000 0.0000 0.5000
Se2 Se 0.2500 0.2500 0.7500
```



First-principles (meta-GGA SCAN) data for a PBEsol-optimized structure of SrBeSe2, as listed in Alexandria via LeMat-Bulk.

## Properties
The formation energy from raw total energies comes out at -4.11 eV/f.u. The calculation puts the size of the total moment at 0.0 μB per cell.

Geometry as CIF:
```
data_SrBeSe2
_cell_length_a 3.9259
_cell_length_b 3.9259
_cell_length_c 6.4090
_cell_angle_alpha 90.00
_cell_angle_beta 90.00
_cell_angle_gamma 90.00
_symmetry_space_group_name_H-M 'P 4 m m'
_symmetry_Int_Tables_number 99
_symmetry_space_group_name_Hall 'P 4 -2'
loop_
_atom_site_label
_atom_site_type_symbol
_atom_site_fract_x
_atom_site_fract_y
_atom_site_fract_z
Sr1 Sr 0.0000 0.0000 0.0000
Be1 Be 0.5000 0.5000 0.5371
Se1 Se 0.0000 0.0000 0.4683
Se2 Se 0.5000 0.5000 0.8679
```



First-principles (meta-GGA SCAN) data for a PBEsol-optimized structure of SrBeSe2, as listed in Alexandria via LeMat-Bulk.

## Properties
The formation energy from raw total energies comes out at -3.51 eV/f.u. The calculation puts the size of the total moment at 0.0 μB per cell.

Geometry as CIF:
```
data_SrBeSe2
_cell_length_a 3.5156
_cell_length_b 3.8489
_cell_length_c 13.2020
_cell_angle_alpha 90.00
_cell_angle_beta 90.00
_cell_angle_gamma 90.00
_symmetry_space_group_name_H-M 'I m m 2'
_symmetry_Int_Tables_number 44
_symmetry_space_group_name_Hall 'I 2 -2'
loop_
_atom_site_label
_atom_site_type_symbol
_atom_site_fract_x
_atom_site_fract_y
_atom_site_fract_z
Sr1 Sr 0.0000 0.0000 0.0000
Be1 Be 0.0000 0.5000 0.7609
Se1 Se 0.0000 0.0000 0.3787
Se2 Se 0.0000 0.5000 0.1739
```



First-principles (meta-GGA SCAN) data for a PBEsol-optimized structure of Sr2BeSe, as listed in Alexandria via LeMat-Bulk.

## Properties
The formation energy from raw total energies comes out at -2.58 eV/f.u. The calculation puts the size of the total moment at 1.2 μB per cell.

Geometry as CIF:
```
data_Sr2BeSe
_cell_length_a 4.4119
_cell_length_b 4.4119
_cell_length_c 6.2459
_cell_angle_alpha 90.00
_cell_angle_beta 90.00
_cell_angle_gamma 90.00
_symmetry_space_group_name_H-M 'P 4/m m m'
_symmetry_Int_Tables_number 123
_symmetry_space_group_name_Hall '-P 4 2'
loop_
_atom_site_label
_atom_site_type_symbol
_atom_site_fract_x
_atom_site_fract_y
_atom_site_fract_z
Sr1 Sr 0.0000 0.0000 0.0000
Sr2 Sr 0.5000 0.5000 0.5000
Be1 Be 0.0000 0.0000 0.5000
Se1 Se 0.5000 0.5000 0.0000
```



First-principles (meta-GGA SCAN) data for a PBEsol-optimized structure of SrBeSe2, as listed in Alexandria via LeMat-Bulk.

## Properties
The formation energy from raw total energies comes out at -4.09 eV/f.u. The calculation puts the size of the total moment at 0.0 μB per cell.

Geometry as CIF:
```
data_SrBeSe2
_cell_length_a 3.6681
_cell_length_b 6.2034
_cell_length_c 7.8902
_cell_angle_alpha 90.00
_cell_angle_beta 90.00
_cell_angle_gamma 90.00
_symmetry_space_group_name_H-M 'I m m m'
_symmetry_Int_Tables_number 71
_symmetry_space_group_name_Hall '-I 2 2'
loop_
_atom_site_label
_atom_site_type_symbol
_atom_site_fract_x
_atom_site_fract_y
_atom_site_fract_z
Sr1 Sr 0.0000 0.0000 0.0000
Be1 Be 0.0000 0.0000 0.5000
Se1 Se 0.0000 0.5000 0.1910
```



First-principles (meta-GGA SCAN) data for a PBEsol-optimized structure of SrBeSe2, as listed in Alexandria via LeMat-Bulk.

## Properties
The formation energy from raw total energies comes out at -1.95 eV/f.u. The calculation puts the size of the total moment at 0.0 μB per cell.

Geometry as CIF:
```
data_SrBeSe2
_cell_length_a 3.4647
_cell_length_b 3.4647
_cell_length_c 6.9685
_cell_angle_alpha 90.00
_cell_angle_beta 90.00
_cell_angle_gamma 90.00
_symmetry_space_group_name_H-M 'P 4/m m m'
_symmetry_Int_Tables_number 123
_symmetry_space_group_name_Hall '-P 4 2'
loop_
_atom_site_label
_atom_site_type_symbol
_atom_site_fract_x
_atom_site_fract_y
_atom_site_fract_z
Sr1 Sr 0.0000 0.0000 0.0000
Be1 Be 0.0000 0.0000 0.5000
Se1 Se 0.5000 0.5000 0.2842
```



First-principles (meta-GGA SCAN) data for a PBEsol-optimized structure of TaBeSe, as listed in Alexandria via LeMat-Bulk.

## Properties
The formation energy from raw total energies comes out at -0.22 eV/f.u. The calculation puts the size of the total moment at 0.0 μB per cell.

Geometry as CIF:
```
data_TaBeSe
_cell_length_a 3.1776
_cell_length_b 3.1776
_cell_length_c 8.2914
_cell_angle_alpha 90.00
_cell_angle_beta 90.00
_cell_angle_gamma 90.00
_symmetry_space_group_name_H-M 'I 4 m m'
_symmetry_Int_Tables_number 107
_symmetry_space_group_name_Hall 'I 4 -2'
loop_
_atom_site_label
_atom_site_type_symbol
_atom_site_fract_x
_atom_site_fract_y
_atom_site_fract_z
Ta1 Ta 0.0000 0.0000 0.0000
Be1 Be 0.0000 0.0000 0.3312
Se1 Se 0.0000 0.0000 0.6709
```



First-principles (meta-GGA SCAN) data for a PBEsol-optimized structure of Ta2BeSe, as listed in Alexandria via LeMat-Bulk.

## Properties
The formation energy from raw total energies comes out at 3.53 eV/f.u. The calculation puts the size of the total moment at 0.0 μB per cell.

Geometry as CIF:
```
data_Ta2BeSe
_cell_length_a 5.1643
_cell_length_b 5.1643
_cell_length_c 11.8761
_cell_angle_alpha 90.00
_cell_angle_beta 90.00
_cell_angle_gamma 90.00
_symmetry_space_group_name_H-M 'I -4 2 d'
_symmetry_Int_Tables_number 122
_symmetry_space_group_name_Hall 'I -4 2bw'
loop_
_atom_site_label
_atom_site_type_symbol
_atom_site_fract_x
_atom_site_fract_y
_atom_site_fract_z
Ta1 Ta 0.1877 0.2500 0.1250
Be1 Be 0.0000 0.0000 0.0000
Se1 Se 0.0000 0.0000 0.5000
```



First-principles (meta-GGA SCAN) data for a PBEsol-optimized structure of Ta2BeSe, as listed in Alexandria via LeMat-Bulk.

## Properties
The formation energy from raw total energies comes out at 2.37 eV/f.u. The calculation puts the size of the total moment at 0.0 μB per cell.

Geometry as CIF:
```
data_Ta2BeSe
_cell_length_a 6.3079
_cell_length_b 6.3079
_cell_length_c 6.3079
_cell_angle_alpha 90.00
_cell_angle_beta 90.00
_cell_angle_gamma 90.00
_symmetry_space_group_name_H-M 'F -4 3 m'
_symmetry_Int_Tables_number 216
_symmetry_space_group_name_Hall 'F -4 2 3'
loop_
_atom_site_label
_atom_site_type_symbol
_atom_site_fract_x
_atom_site_fract_y
_atom_site_fract_z
Ta1 Ta 0.0000 0.0000 0.0000
Ta2 Ta 0.2500 0.2500 0.2500
Be1 Be 0.2500 0.2500 0.7500
Se1 Se 0.0000 0.0000 0.5000
```



First-principles (meta-GGA SCAN) data for a PBEsol-optimized structure of Ta2BeSe, as listed in Alexandria via LeMat-Bulk.

## Properties
The formation energy from raw total energies comes out at 1.13 eV/f.u. The calculation puts the size of the total moment at 0.0 μB per cell.

Geometry as CIF:
```
data_Ta2BeSe
_cell_length_a 4.2828
_cell_length_b 4.2828
_cell_length_c 6.4616
_cell_angle_alpha 90.00
_cell_angle_beta 90.00
_cell_angle_gamma 90.00
_symmetry_space_group_name_H-M 'I 4/m m m'
_symmetry_Int_Tables_number 139
_symmetry_space_group_name_Hall '-I 4 2'
loop_
_atom_site_label
_atom_site_type_symbol
_atom_site_fract_x
_atom_site_fract_y
_atom_site_fract_z
Ta1 Ta 0.0000 0.5000 0.2500
Be1 Be 0.0000 0.0000 0.0000
Se1 Se 0.0000 0.0000 0.5000
```



First-principles (meta-GGA SCAN) data for a PBEsol-optimized structure of Be2TcSe, as listed in Alexandria via LeMat-Bulk.

## Properties
The formation energy from raw total energies comes out at -0.07 eV/f.u. The calculation puts the size of the total moment at 0.0 μB per cell.

Geometry as CIF:
```
data_Be2TcSe
_cell_length_a 3.1150
_cell_length_b 3.1150
_cell_length_c 4.8206
_cell_angle_alpha 90.00
_cell_angle_beta 90.00
_cell_angle_gamma 90.00
_symmetry_space_group_name_H-M 'P 4/m m m'
_symmetry_Int_Tables_number 123
_symmetry_space_group_name_Hall '-P 4 2'
loop_
_atom_site_label
_atom_site_type_symbol
_atom_site_fract_x
_atom_site_fract_y
_atom_site_fract_z
Be1 Be 0.0000 0.0000 0.2239
Tc1 Tc 0.5000 0.5000 0.0000
Se1 Se 0.5000 0.5000 0.5000
```



First-principles (meta-GGA SCAN) data for a PBEsol-optimized structure of BeTc3Se, as listed in Alexandria via LeMat-Bulk.

## Properties
The formation energy from raw total energies comes out at 4.49 eV/f.u. The calculation puts the size of the total moment at 2.9 μB per cell.

Geometry as CIF:
```
data_BeTc3Se
_cell_length_a 4.1379
_cell_length_b 4.1379
_cell_length_c 4.1379
_cell_angle_alpha 90.00
_cell_angle_beta 90.00
_cell_angle_gamma 90.00
_symmetry_space_group_name_H-M 'P m -3 m'
_symmetry_Int_Tables_number 221
_symmetry_space_group_name_Hall '-P 4 2 3'
loop_
_atom_site_label
_atom_site_type_symbol
_atom_site_fract_x
_atom_site_fract_y
_atom_site_fract_z
Be1 Be 0.0000 0.0000 0.0000
Tc1 Tc 0.0000 0.0000 0.5000
Se1 Se 0.5000 0.5000 0.5000
```



First-principles (meta-GGA SCAN) data for a PBEsol-optimized structure of Be2TcSe, as listed in Alexandria via LeMat-Bulk.

## Properties
The formation energy from raw total energies comes out at 0.90 eV/f.u. The calculation puts the size of the total moment at 0.0 μB per cell.

Geometry as CIF:
```
data_Be2TcSe
_cell_length_a 3.8301
_cell_length_b 3.8301
_cell_length_c 3.1632
_cell_angle_alpha 90.00
_cell_angle_beta 90.00
_cell_angle_gamma 90.00
_symmetry_space_group_name_H-M 'P 4/m m m'
_symmetry_Int_Tables_number 123
_symmetry_space_group_name_Hall '-P 4 2'
loop_
_atom_site_label
_atom_site_type_symbol
_atom_site_fract_x
_atom_site_fract_y
_atom_site_fract_z
Be1 Be 0.0000 0.5000 0.0000
Tc1 Tc 0.0000 0.0000 0.5000
Se1 Se 0.5000 0.5000 0.5000
```



First-principles (meta-GGA SCAN) data for a PBEsol-optimized structure of BeTc4Se, as listed in Alexandria via LeMat-Bulk.

## Properties
The formation energy from raw total energies comes out at 4.26 eV/f.u. The calculation puts the size of the total moment at 0.0 μB per cell.

Geometry as CIF:
```
data_BeTc4Se
_cell_length_a 7.1287
_cell_length_b 7.1287
_cell_length_c 7.1287
_cell_angle_alpha 90.00
_cell_angle_beta 90.00
_cell_angle_gamma 90.00
_symmetry_space_group_name_H-M 'F -4 3 m'
_symmetry_Int_Tables_number 216
_symmetry_space_group_name_Hall 'F -4 2 3'
loop_
_atom_site_label
_atom_site_type_symbol
_atom_site_fract_x
_atom_site_fract_y
_atom_site_fract_z
Be1 Be 0.0000 0.0000 0.0000
Tc1 Tc 0.1246 0.1246 0.6246
Se1 Se 0.2500 0.2500 0.2500
```



First-principles (meta-GGA SCAN) data for a PBEsol-optimized structure of BeTeSe2, as listed in Alexandria via LeMat-Bulk.

## Properties
The formation energy from raw total energies comes out at -0.23 eV/f.u. The calculation puts the size of the total moment at 0.0 μB per cell.

Geometry as CIF:
```
data_BeTeSe2
_cell_length_a 4.5541
_cell_length_b 3.5722
_cell_length_c 5.5052
_cell_angle_alpha 90.00
_cell_angle_beta 112.25
_cell_angle_gamma 90.00
_symmetry_space_group_name_H-M 'P 1 m 1'
_symmetry_Int_Tables_number 6
_symmetry_space_group_name_Hall 'P -2y'
loop_
_atom_site_label
_atom_site_type_symbol
_atom_site_fract_x
_atom_site_fract_y
_atom_site_fract_z
Be1 Be 0.0000 0.0000 0.0000
Te1 Te 0.1359 0.5000 0.6684
Se1 Se 0.3992 0.0000 0.3862
Se2 Se 0.7258 0.5000 0.0357
```